Entry 1:
VASP calculation (PBE) on an optimized crystal structure of CsSc3Si.

Values from the calculation:
E_form (uncorrected) ... 1627.8 meV/atom

Geometry as POSCAR:
```
CsSc3Si
1.0
-4.3665 -1.3724 -2.4275
-1.7380 -2.1876 4.3631
-2.1807 4.4915 1.3833
Sc Si Cs
3 1 1
direct
0.0000 0.5000 0.0000
0.0000 0.0000 0.5000
0.5000 0.0000 0.0000
0.5000 0.5000 0.5000
0.0000 0.0000 0.0000
```

=====

Entry 2:
VASP calculation (PBE) on an optimized crystal structure of Be2CrAg.

Values from the calculation:
Energy relative to the elements ... 0.33 eV per atom

Geometry as POSCAR:
```
Be2CrAg
1.0
4.6395 -0.0045 0.0044
3.9414 2.4476 0.0044
1.2462 0.3548 4.0817
Be Ag Cr
2 1 1
direct
0.7259 0.7259 0.7160
0.0222 0.0222 0.0299
0.2682 0.2682 0.1921
0.4837 0.4837 0.5620
```

=====

These records have total energy values of -3.43, -4.65 eV per atom, in the order they appear.
These records have E above lowest polymorph values of 1283, 123 meV/atom, in the order they appear.